1.
# PBE-GGA Nd3SnO6, relaxed
data_Nd3SnO6
_cell_length_a 7.476
_cell_length_b 7.476
_cell_length_c 5.833
_cell_angle_alpha 90.00
_cell_angle_beta 90.00
_cell_angle_gamma 102.48
_space_group_name_H-M_alt 'P 1'
_space_group_IT_number 1
_space_group_name_Hall 'P 1'
loop_
_atom_site_label
_atom_site_fract_x
_atom_site_fract_y
_atom_site_fract_z
_atom_site_occupancy
Nd1 0.101 0.899 0.500 1
Nd2 0.195 0.410 0.446 1
Nd3 0.410 0.195 0.946 1
Nd4 0.590 0.805 0.446 1
Nd5 0.805 0.590 0.946 1
Nd6 0.899 0.101 0.000 1
Sn1 0.332 0.668 0.935 1
Sn2 0.668 0.332 0.435 1
O1 0.087 0.603 0.751 1
O2 0.146 0.175 0.724 1
O3 0.175 0.146 0.224 1
O4 0.274 0.726 0.284 1
O5 0.397 0.913 0.751 1
O6 0.482 0.518 0.694 1
O7 0.518 0.482 0.194 1
O8 0.603 0.087 0.251 1
O9 0.726 0.274 0.784 1
O10 0.825 0.854 0.724 1
O11 0.854 0.825 0.224 1
O12 0.913 0.397 0.251 1
# distance to the lowest polymorph of the same formula: 39 meV/atom
# size of the total moment: 0.00 μB/f.u.
# formation energy from raw total energies: -2734 kJ/mol of formula units
# ρ: 6755 kg/m³

2.
# PBE-GGA Nd3SnO6, relaxed
data_Nd3SnO6
_cell_length_a 6.987
_cell_length_b 6.987
_cell_length_c 6.987
_cell_angle_alpha 93.10
_cell_angle_beta 93.10
_cell_angle_gamma 93.10
_space_group_name_H-M_alt 'P 1'
_space_group_IT_number 1
_space_group_name_Hall 'P 1'
loop_
_atom_site_label
_atom_site_fract_x
_atom_site_fract_y
_atom_site_fract_z
_atom_site_occupancy
Nd1 0.061 0.569 0.755 1
Nd2 0.245 0.939 0.431 1
Nd3 0.431 0.245 0.939 1
Nd4 0.569 0.755 0.061 1
Nd5 0.755 0.061 0.569 1
Nd6 0.939 0.431 0.245 1
Sn1 0.000 0.000 0.000 1
Sn2 0.500 0.500 0.500 1
O1 0.035 0.914 0.708 1
O2 0.086 0.292 0.965 1
O3 0.168 0.611 0.440 1
O4 0.292 0.965 0.086 1
O5 0.389 0.560 0.832 1
O6 0.440 0.168 0.611 1
O7 0.560 0.832 0.389 1
O8 0.611 0.440 0.168 1
O9 0.708 0.035 0.914 1
O10 0.832 0.389 0.560 1
O11 0.914 0.708 0.035 1
O12 0.965 0.086 0.292 1
# distance to the lowest polymorph of the same formula: 0 meV/atom
# size of the total moment: 0.00 μB/f.u.
# formation energy from raw total energies: -2771 kJ/mol of formula units
# ρ: 6333 kg/m³

3.
# PBE-GGA Nd3Sn2O, relaxed
data_Nd3Sn2O
_cell_length_a 6.948
_cell_length_b 6.948
_cell_length_c 6.799
_cell_angle_alpha 90.00
_cell_angle_beta 90.00
_cell_angle_gamma 79.49
_space_group_name_H-M_alt 'P 1'
_space_group_IT_number 1
_space_group_name_Hall 'P 1'
loop_
_atom_site_label
_atom_site_fract_x
_atom_site_fract_y
_atom_site_fract_z
_atom_site_occupancy
Nd1 0.158 0.842 0.750 1
Nd2 0.338 0.338 0.000 1
Nd3 0.338 0.338 0.500 1
Nd4 0.662 0.662 0.000 1
Nd5 0.662 0.662 0.500 1
Nd6 0.842 0.158 0.250 1
Sn1 0.049 0.675 0.250 1
Sn2 0.325 0.951 0.250 1
Sn3 0.675 0.049 0.750 1
Sn4 0.951 0.325 0.750 1
O1 0.422 0.578 0.750 1
O2 0.578 0.422 0.250 1
# size of the total moment: 0.00 μB/f.u.
# formation energy from raw total energies: -766 kJ/mol of formula units
# ρ: 7061 kg/m³

4.
# PBE-GGA Nd3Sn5O12, relaxed
data_Nd3Sn5O12
_cell_length_a 11.765
_cell_length_b 11.765
_cell_length_c 11.765
_cell_angle_alpha 109.47
_cell_angle_beta 109.47
_cell_angle_gamma 109.47
_space_group_name_H-M_alt 'P 1'
_space_group_IT_number 1
_space_group_name_Hall 'P 1'
loop_
_atom_site_label
_atom_site_fract_x
_atom_site_fract_y
_atom_site_fract_z
_atom_site_occupancy
Nd1 0.125 0.250 0.375 1
Nd2 0.125 0.375 0.750 1
Nd3 0.250 0.375 0.125 1
Nd4 0.250 0.875 0.625 1
Nd5 0.375 0.125 0.250 1
Nd6 0.375 0.750 0.125 1
Nd7 0.625 0.250 0.875 1
Nd8 0.625 0.875 0.750 1
Nd9 0.750 0.125 0.375 1
Nd10 0.750 0.625 0.875 1
Nd11 0.875 0.625 0.250 1
Nd12 0.875 0.750 0.625 1
Sn1 0.000 0.000 0.000 1
Sn2 0.000 0.000 0.500 1
Sn3 0.000 0.500 0.000 1
Sn4 0.000 0.500 0.500 1
Sn5 0.125 0.750 0.875 1
Sn6 0.125 0.875 0.250 1
Sn7 0.250 0.125 0.875 1
Sn8 0.250 0.625 0.375 1
Sn9 0.375 0.250 0.625 1
Sn10 0.375 0.625 0.750 1
Sn11 0.500 0.000 0.000 1
Sn12 0.500 0.000 0.500 1
Sn13 0.500 0.500 0.000 1
Sn14 0.500 0.500 0.500 1
Sn15 0.625 0.375 0.250 1
Sn16 0.625 0.750 0.375 1
Sn17 0.750 0.375 0.625 1
Sn18 0.750 0.875 0.125 1
Sn19 0.875 0.125 0.750 1
Sn20 0.875 0.250 0.125 1
O1 0.041 0.204 0.127 1
O2 0.041 0.337 0.913 1
O3 0.077 0.704 0.663 1
O4 0.077 0.873 0.413 1
O5 0.087 0.627 0.423 1
O6 0.087 0.959 0.663 1
O7 0.127 0.041 0.204 1
O8 0.127 0.587 0.923 1
O9 0.163 0.204 0.577 1
O10 0.163 0.459 0.587 1
O11 0.204 0.127 0.041 1
O12 0.204 0.577 0.163 1
O13 0.296 0.337 0.923 1
O14 0.296 0.459 0.373 1
O15 0.337 0.913 0.041 1
O16 0.337 0.923 0.296 1
O17 0.373 0.296 0.459 1
O18 0.373 0.577 0.913 1
O19 0.413 0.077 0.873 1
O20 0.413 0.837 0.541 1
O21 0.423 0.087 0.627 1
O22 0.423 0.837 0.796 1
O23 0.459 0.373 0.296 1
O24 0.459 0.587 0.163 1
O25 0.541 0.413 0.837 1
O26 0.541 0.627 0.704 1
O27 0.577 0.163 0.204 1
O28 0.577 0.913 0.373 1
O29 0.587 0.163 0.459 1
O30 0.587 0.923 0.127 1
O31 0.627 0.423 0.087 1
O32 0.627 0.704 0.541 1
O33 0.663 0.077 0.704 1
O34 0.663 0.087 0.959 1
O35 0.704 0.541 0.627 1
O36 0.704 0.663 0.077 1
O37 0.796 0.423 0.837 1
O38 0.796 0.873 0.959 1
O39 0.837 0.541 0.413 1
O40 0.837 0.796 0.423 1
O41 0.873 0.413 0.077 1
O42 0.873 0.959 0.796 1
O43 0.913 0.041 0.337 1
O44 0.913 0.373 0.577 1
O45 0.923 0.127 0.587 1
O46 0.923 0.296 0.337 1
O47 0.959 0.663 0.087 1
O48 0.959 0.796 0.873 1
# size of the total moment: 0.00 μB/f.u.
# formation energy from raw total energies: -3860 kJ/mol of formula units
# ρ: 6456 kg/m³

> Which value of formation energy from raw total energies does entry 3 give?

-766 kJ/mol of formula units